Here is SrTcTeI2 at its PBEsol-relaxed geometry from Alexandria via LeMat-Bulk. Energies are from SCAN.

Unit cell a=5.087 b=5.521 c=5.521 alpha=90.00 beta=90.00 gamma=90.00
Sites, in units of the cell vectors:
Te (0.500, 0.000, 0.000)
I (0.000, 0.500, 0.000)
Tc (0.000, 0.000, 0.000)
Sr (0.500, 0.500, 0.500)
I (0.000, 0.000, 0.500)

For the density of states at the Fermi level, the calculation gives 3.019 states/eV per cell. For the total magnetization, the calculation gives 0.93 μB per formula unit. The calculation puts the total energy at -33.947 eV/atom. For the formation energy without anion corrections, the calculation gives -1.66 eV per formula unit.